Material: LiTb2Pu
Method: DFT, PBE-GGA
State: optimized geometry

```
LiTb2Pu
1.0
3.459 0.000 0.000
0.000 3.459 0.000
0.000 0.000 9.275
Li Tb Pu
1 2 1
Cartesian
0.000 0.000 0.000 Li
1.729 1.729 2.217 Tb
1.729 1.729 7.058 Tb
0.000 0.000 4.637 Pu
```

Summary:
Excess energy over the best structure of this formula in the dataset: 0.000 kcal/mol of atoms
ΔH_f (0 K): 0.155 eV/atom
D(E_F): 10.3 states/eV per cell